No. 1
# Ba2LiZnH

Crystalline Ba2LiZnH at its relaxed geometry (PBE-GGA, the Alexandria database).

Unit cell a=7.9109 b=4.5068 c=8.7182 alpha=90.00 beta=106.49 gamma=90.00
Last column: nearest neighbours and their distance in Å.
Space group P2_1/m (No. 11)
Unique sites:
Ba  0.2030  0.2500  0.4377 x2  3 H 2.82-3.08
Ba  0.2120  0.2500  0.9247 x2  2 H 3.13, 2 Zn 3.45
Li  0.4168  0.7500  0.7225 x2  1 H 1.88
Zn  0.3772  0.7500  0.2309 x2  2 Li 2.74
H  0.1686  0.7500  0.6670 x2  1 Li 1.88

Properties
Final energy = -22.381 eV/cell
Distance to the lowest polymorph of the same formula = 0.046 eV per atom

---

No. 2
# Ba2LiZnH

Crystalline Ba2LiZnH at its relaxed geometry (PBE-GGA, the Alexandria database).

Unit cell a=5.6582 b=5.6582 c=4.4559 alpha=90.00 beta=90.00 gamma=90.00
Last column: nearest neighbours and their distance in Å.
Space group P4/mmm (No. 123)
Unique sites:
Ba  0.0000  0.5000  0.0000 x2  2 H 2.83
Li  0.0000  0.0000  0.5000 x1  8 Ba 3.60, 4 Zn 4.00
Zn  0.5000  0.5000  0.5000 x1  2 H 2.23
H  0.5000  0.5000  0.0000 x1  2 Zn 2.23

Properties
Final energy = -10.883 eV/cell
Distance to the lowest polymorph of the same formula = 0.107 eV per atom